[1]
{
  "formula": "CdInSn2Hg4",
  "functional": "GGA-PBE",
  "state": "optimized geometry",
  "delta_e_f_ev_per_fu": 0.5,
  "lattice_angstrom": [[-3.682, 4.894, 6.048], [3.682, -4.894, 6.048], [3.682, 4.894, -6.048]],
  "species": ["Cd", "Cd", "In", "In", "Sn", "Sn", "Sn", "Sn", "Hg", "Hg", "Hg", "Hg", "Hg", "Hg", "Hg", "Hg"],
  "fractional_positions": [[0.500, 0.000, 0.000], [0.500, 0.500, 0.500], [0.000, 0.000, 0.000], [0.500, 0.000, 0.500], [0.000, 0.000, 0.500], [0.000, 0.500, 0.000], [0.000, 0.500, 0.500], [0.500, 0.500, 0.000], [0.250, 0.252, 0.502], [0.250, 0.749, 0.998], [0.255, 0.750, 0.506], [0.256, 0.250, 0.006], [0.744, 0.750, 0.994], [0.745, 0.250, 0.494], [0.750, 0.251, 0.002], [0.750, 0.748, 0.498]]
}

[2]
{
  "formula": "ScAlSb2",
  "functional": "GGA-PBE",
  "state": "optimized geometry",
  "de_polymorph_mev_per_atom": 155.2,
  "lattice_angstrom": [[5.078, -1.997, 0.000], [5.078, 1.997, 0.000], [-2.703, 0.000, 4.514]],
  "species": ["Sc", "Al", "Sb", "Sb"],
  "fractional_positions": [[0.000, 0.000, 0.000], [0.500, 0.500, 0.500], [0.236, 0.236, 0.737], [0.764, 0.764, 0.263]]
}

[3]
{
  "formula": "SmPu2Au3",
  "functional": "GGA-PBE",
  "state": "optimized geometry",
  "delta_e_f_ev_per_fu": -3.1,
  "lattice_angstrom": [[3.589, 0.000, 0.000], [0.000, 3.589, 0.000], [0.000, 0.000, 11.334]],
  "species": ["Sm", "Pu", "Pu", "Au", "Au", "Au"],
  "fractional_positions": [[0.000, 0.000, 0.000], [0.000, 0.000, 0.334], [0.000, 0.000, 0.666], [0.500, 0.500, 0.161], [0.500, 0.500, 0.500], [0.500, 0.500, 0.839]]
}

[4]
{
  "formula": "Al2Co2Ru",
  "functional": "GGA-PBE",
  "state": "optimized geometry",
  "delta_e_f_ev_per_fu": -0.9,
  "de_polymorph_mev_per_atom": 58.2,
  "lattice_angstrom": [[6.841, 0.000, 0.000], [0.000, 6.841, 0.000], [0.000, 0.000, 2.688]],
  "species": ["Al", "Al", "Al", "Al", "Co", "Co", "Co", "Co", "Ru", "Ru"],
  "fractional_positions": [[0.177, 0.323, 0.000], [0.323, 0.823, 0.000], [0.677, 0.177, 0.000], [0.823, 0.677, 0.000], [0.121, 0.621, 0.500], [0.379, 0.121, 0.500], [0.621, 0.879, 0.500], [0.879, 0.379, 0.500], [0.000, 0.000, 0.500], [0.500, 0.500, 0.500]]
}

[5]
{
  "formula": "K4Pu3TiTe8",
  "functional": "GGA-PBE",
  "state": "optimized geometry",
  "dft_energy_ev_per_atom": -6.057,
  "lattice_angstrom": [[4.458, 2.574, 8.215], [-4.458, 2.574, 8.215], [0.000, -5.148, 8.215]],
  "species": ["K", "K", "K", "K", "Pu", "Pu", "Pu", "Ti", "Te", "Te", "Te", "Te", "Te", "Te", "Te", "Te"],
  "fractional_positions": [[0.000, 0.000, 0.000], [0.000, 0.500, 0.500], [0.500, 0.000, 0.500], [0.500, 0.500, 0.000], [0.000, 0.000, 0.500], [0.000, 0.500, 0.000], [0.500, 0.000, 0.000], [0.500, 0.500, 0.500], [0.238, 0.238, 0.238], [0.255, 0.723, 0.723], [0.277, 0.277, 0.745], [0.277, 0.745, 0.277], [0.723, 0.255, 0.723], [0.723, 0.723, 0.255], [0.745, 0.277, 0.277], [0.762, 0.762, 0.762]]
}

[6]
{
  "formula": "TcAgSeN2",
  "functional": "GGA-PBE",
  "state": "optimized geometry",
  "de_polymorph_mev_per_atom": 1633.7,
  "lattice_angstrom": [[3.963, 0.000, 0.000], [0.000, 3.963, 0.000], [0.000, 0.000, 6.246]],
  "species": ["Tc", "Ag", "Se", "N", "N"],
  "fractional_positions": [[0.000, 0.000, 0.000], [0.500, 0.500, 0.500], [0.500, 0.500, 0.000], [0.000, 0.500, 0.500], [0.500, 0.000, 0.500]]
}

[7]
{
  "formula": "LaHo6Cd",
  "functional": "GGA-PBE",
  "state": "optimized geometry",
  "delta_e_f_ev_per_fu": 0.5,
  "lattice_angstrom": [[4.658, 2.689, 3.296], [-4.658, 2.689, 3.296], [0.000, -5.378, 3.296]],
  "species": ["La", "Ho", "Ho", "Ho", "Ho", "Ho", "Ho", "Cd"],
  "fractional_positions": [[0.000, 0.000, 0.000], [0.050, 0.542, 0.261], [0.261, 0.050, 0.542], [0.458, 0.739, 0.950], [0.542, 0.261, 0.050], [0.739, 0.950, 0.458], [0.950, 0.458, 0.739], [0.500, 0.500, 0.500]]
}

[8]
{
  "formula": "Dy3ErAs4",
  "functional": "GGA-PBE",
  "state": "optimized geometry",
  "delta_e_f_ev_per_fu": -12.3,
  "de_polymorph_mev_per_atom": 0.0,
  "lattice_angstrom": [[5.808, 0.000, 0.000], [0.000, 5.808, 0.000], [0.000, 0.000, 5.808]],
  "species": ["Dy", "Dy", "Dy", "Er", "As", "As", "As", "As"],
  "fractional_positions": [[0.000, 0.000, 0.500], [0.000, 0.500, 0.000], [0.500, 0.000, 0.000], [0.500, 0.500, 0.500], [0.000, 0.000, 0.000], [0.000, 0.500, 0.500], [0.500, 0.000, 0.500], [0.500, 0.500, 0.000]]
}

[9]
{
  "formula": "Sc2Cr2Rh",
  "functional": "GGA-PBE",
  "state": "optimized geometry",
  "delta_e_f_ev_per_fu": 0.0,
  "lattice_angstrom": [[6.237, 0.000, 0.000], [0.000, 6.237, 0.000], [0.000, 0.000, 4.338]],
  "species": ["Sc", "Sc", "Sc", "Sc", "Cr", "Cr", "Cr", "Cr", "Rh", "Rh"],
  "fractional_positions": [[0.179, 0.321, 0.000], [0.321, 0.821, 0.000], [0.679, 0.179, 0.000], [0.821, 0.679, 0.000], [0.113, 0.613, 0.500], [0.387, 0.113, 0.500], [0.613, 0.887, 0.500], [0.887, 0.387, 0.500], [0.000, 0.000, 0.500], [0.500, 0.500, 0.500]]
}

[10]
{
  "formula": "Sr4SiPt3",
  "functional": "GGA-PBE",
  "state": "optimized geometry",
  "dft_energy_ev_per_atom": -4.544,
  "lattice_angstrom": [[4.404, 0.000, 0.000], [0.000, 4.512, 0.000], [0.000, 0.000, 11.267]],
  "species": ["Sr", "Sr", "Sr", "Sr", "Si", "Pt", "Pt", "Pt"],
  "fractional_positions": [[0.000, 0.000, 0.000], [0.000, 0.500, 0.485], [0.500, 0.000, 0.704], [0.500, 0.500, 0.212], [0.000, 0.500, 0.808], [0.000, 0.000, 0.276], [0.500, 0.000, 0.425], [0.500, 0.500, 0.893]]
}

[11]
{
  "formula": "Tl2Cd7Hg12",
  "functional": "GGA-PBE",
  "state": "optimized geometry",
  "delta_e_f_ev_per_fu": 0.4,
  "lattice_angstrom": [[13.600, 0.000, 0.000], [-6.800, 11.778, 0.000], [0.000, 0.000, 3.431]],
  "species": ["Tl", "Tl", "Cd", "Cd", "Cd", "Cd", "Cd", "Cd", "Cd", "Hg", "Hg", "Hg", "Hg", "Hg", "Hg", "Hg", "Hg", "Hg", "Hg", "Hg", "Hg"],
  "fractional_positions": [[0.333, 0.667, 0.231], [0.667, 0.333, 0.769], [0.000, 0.000, 0.000], [0.120, 0.442, 0.767], [0.322, 0.880, 0.767], [0.442, 0.322, 0.233], [0.558, 0.678, 0.767], [0.678, 0.120, 0.233], [0.880, 0.558, 0.233], [0.096, 0.654, 0.737], [0.117, 0.247, 0.284], [0.130, 0.883, 0.284], [0.247, 0.130, 0.716], [0.346, 0.441, 0.737], [0.441, 0.096, 0.263], [0.559, 0.904, 0.737], [0.654, 0.559, 0.263], [0.753, 0.870, 0.284], [0.870, 0.117, 0.716], [0.883, 0.753, 0.716], [0.904, 0.346, 0.263]]
}

[12]
{
  "formula": "Pm2ZnGe3Pd4",
  "functional": "GGA-PBE",
  "state": "optimized geometry",
  "delta_e_f_ev_per_fu": -7.9,
  "lattice_angstrom": [[4.318, 0.000, 0.000], [0.000, 4.318, 0.000], [0.000, 0.000, 10.229]],
  "species": ["Pm", "Pm", "Zn", "Ge", "Ge", "Ge", "Pd", "Pd", "Pd", "Pd"],
  "fractional_positions": [[0.000, 0.500, 0.248], [0.500, 0.000, 0.752], [0.500, 0.500, 0.000], [0.000, 0.000, 0.000], [0.000, 0.500, 0.631], [0.500, 0.000, 0.369], [0.000, 0.000, 0.500], [0.000, 0.500, 0.870], [0.500, 0.000, 0.130], [0.500, 0.500, 0.500]]
}

[13]
{
  "formula": "Tm3Zn2Cd4",
  "functional": "GGA-PBE",
  "state": "optimized geometry",
  "delta_e_f_ev_per_fu": -2.6,
  "lattice_angstrom": [[5.353, -2.403, 0.000], [5.353, 2.403, 0.000], [-4.240, 0.000, 7.869]],
  "species": ["Tm", "Tm", "Tm", "Zn", "Zn", "Cd", "Cd", "Cd", "Cd"],
  "fractional_positions": [[0.000, 0.000, 0.000], [0.333, 0.333, 0.337], [0.667, 0.667, 0.663], [0.391, 0.391, 0.722], [0.609, 0.609, 0.278], [0.058, 0.058, 0.385], [0.283, 0.283, 0.941], [0.717, 0.717, 0.059], [0.942, 0.942, 0.615]]
}

[14]
{
  "formula": "Ba3CaTl",
  "functional": "GGA-PBE",
  "state": "optimized geometry",
  "delta_e_f_ev_per_fu": -0.5,
  "de_polymorph_mev_per_atom": 72.0,
  "lattice_angstrom": [[7.037, -5.439, 0.000], [7.037, 5.439, 0.000], [-6.375, 0.000, 7.073]],
  "species": ["Ba", "Ba", "Ba", "Ba", "Ba", "Ba", "Ca", "Ca", "Tl", "Tl"],
  "fractional_positions": [[0.055, 0.055, 0.265], [0.067, 0.453, 0.802], [0.453, 0.067, 0.802], [0.547, 0.933, 0.198], [0.933, 0.547, 0.198], [0.945, 0.945, 0.735], [0.444, 0.444, 0.629], [0.556, 0.556, 0.371], [0.260, 0.260, 0.142], [0.740, 0.740, 0.858]]
}

[15]
{
  "formula": "Ho2ReOs",
  "functional": "GGA-PBE",
  "state": "optimized geometry",
  "delta_e_f_ev_per_fu": 3.1,
  "lattice_angstrom": [[1.542, 0.890, 9.945], [-1.542, 0.890, 9.945], [0.000, -1.781, 9.945]],
  "species": ["Ho", "Ho", "Re", "Os"],
  "fractional_positions": [[0.093, 0.093, 0.093], [0.907, 0.907, 0.907], [0.000, 0.000, 0.000], [0.500, 0.500, 0.500]]
}

[16]
{
  "formula": "KLiNd2I8",
  "functional": "GGA-PBE",
  "state": "optimized geometry",
  "dft_energy_ev_per_atom": -3.402,
  "lattice_angstrom": [[7.990, 0.000, 0.000], [-3.995, 6.919, 0.000], [0.000, 0.000, 9.313]],
  "species": ["K", "Li", "Nd", "Nd", "I", "I", "I", "I", "I", "I", "I", "I"],
  "fractional_positions": [[0.000, 0.000, 0.000], [0.000, 0.000, 0.500], [0.333, 0.667, 0.404], [0.667, 0.333, 0.596], [0.068, 0.355, 0.661], [0.287, 0.932, 0.661], [0.333, 0.667, 0.078], [0.355, 0.287, 0.339], [0.645, 0.713, 0.661], [0.667, 0.333, 0.922], [0.713, 0.068, 0.339], [0.932, 0.645, 0.339]]
}

[17]
{
  "formula": "Tl2VZnCl6",
  "functional": "GGA-PBE",
  "state": "optimized geometry",
  "dft_energy_ev_per_atom": -3.652,
  "lattice_angstrom": [[6.765, 0.000, 0.000], [0.000, 6.766, 0.000], [3.382, 3.378, 5.453]],
  "species": ["Tl", "Tl", "V", "Zn", "Cl", "Cl", "Cl", "Cl", "Cl", "Cl"],
  "fractional_positions": [[0.000, 0.000, 0.000], [0.500, 0.500, 0.000], [0.253, 0.754, 0.493], [0.785, 0.286, 0.429], [0.008, 0.509, 0.983], [0.041, 0.435, 0.513], [0.445, 0.053, 0.512], [0.472, 0.974, 0.053], [0.552, 0.543, 0.512], [0.934, 0.945, 0.513]]
}

[18]
{
  "formula": "LaRe3Mo",
  "functional": "GGA-PBE",
  "state": "optimized geometry",
  "delta_e_f_ev_per_fu": 15.5,
  "de_polymorph_mev_per_atom": 1739.0,
  "lattice_angstrom": [[4.705, 0.000, 0.000], [0.000, 4.705, 0.000], [0.000, 0.000, 4.705]],
  "species": ["La", "Re", "Re", "Re", "Mo"],
  "fractional_positions": [[0.000, 0.000, 0.000], [0.000, 0.000, 0.500], [0.000, 0.500, 0.000], [0.500, 0.000, 0.000], [0.500, 0.500, 0.500]]
}

[19]
{
  "formula": "Nb2SnAs",
  "functional": "GGA-PBE",
  "state": "optimized geometry",
  "delta_e_f_ev_per_fu": -0.3,
  "de_polymorph_mev_per_atom": 0.0,
  "lattice_angstrom": [[0.000, 3.332, 3.332], [3.332, 0.000, 3.332], [3.332, 3.332, 0.000]],
  "species": ["Nb", "Nb", "Sn", "As"],
  "fractional_positions": [[0.250, 0.250, 0.250], [0.750, 0.750, 0.750], [0.000, 0.000, 0.000], [0.500, 0.500, 0.500]]
}

[20]
{
  "formula": "Li2ScSn",
  "functional": "GGA-PBE",
  "state": "optimized geometry",
  "delta_e_f_ev_per_fu": -1.5,
  "lattice_angstrom": [[-2.413, 2.413, 3.406], [2.413, -2.413, 3.406], [2.413, 2.413, -3.406]],
  "species": ["Li", "Li", "Sc", "Sn"],
  "fractional_positions": [[0.000, 0.000, 0.000], [0.750, 0.250, 0.500], [0.250, 0.750, 0.500], [0.500, 0.500, 0.000]]
}

| no. | V (Å³/cell) |
| --- | --- |
| 1 | 436 |
| 2 | 92 |
| 3 | 146 |
| 4 | 126 |
| 5 | 566 |
| 6 | 98 |
| 7 | 248 |
| 8 | 196 |
| 9 | 169 |
| 10 | 224 |
| 11 | 550 |
| 12 | 191 |
| 13 | 202 |
| 14 | 541 |
| 15 | 82 |
| 16 | 515 |
| 17 | 250 |
| 18 | 104 |
| 19 | 74 |
| 20 | 79 |